BeFeBr2 | Alexandria via LeMat-Bulk | GGA-PBE | optimized geometry; E above lowest polymorph = 60.4 kJ/mol of atoms; space-group type = I-4m2 (119); E = -3.29 eV per atom; formation energy from raw total energies = 598 meV/atom; magnetic moment = 2.8 Bohr magnetons per cell
1.0
-1.7835 1.7835 6.7267
1.7835 -1.7835 6.7267
1.7835 1.7835 -6.7267
Be Fe Br
1 1 2
direct
0.0000 0.0000 0.0000
0.7500 0.2500 0.5000
0.2500 0.7500 0.5000
0.5000 0.5000 0.0000


BeFeBr | Alexandria via LeMat-Bulk | GGA-PBE | optimized geometry; E above lowest polymorph = 4.7 kJ/mol of atoms; space-group type = P3m1 (156); E = -4.11 eV per atom; formation energy from raw total energies = 513 meV/atom; magnetic moment = 2.9 Bohr magnetons per cell
1.0
3.1396 0.0000 0.0000
-1.5698 2.7189 0.0000
0.0000 0.0000 5.4010
Be Fe Br
1 1 1
direct
0.0000 0.0000 0.0000
0.3333 0.6667 0.7090
0.6667 0.3333 0.3536


BeFeBr2 | Alexandria via LeMat-Bulk | GGA-PBE | optimized geometry; E above lowest polymorph = 0.0 kJ/mol of atoms; space-group type = Pm (6); E = -3.91 eV per atom; formation energy from raw total energies = -28 meV/atom; magnetic moment = 2.0 Bohr magnetons per cell
1.0
3.3881 0.0000 0.0000
0.0000 3.3856 0.0000
-0.0690 0.0000 7.2312
Be Fe Br
1 1 2
direct
0.0000 0.0000 0.0000
0.4999 0.5000 0.0005
0.5055 0.0000 0.2533
0.9947 0.5000 0.7476


The highest magnetic moment belongs to which entry? BeFeBr


The highest E above lowest polymorph belongs to which entry? number 1


Which value of magnetic moment does entry 3 give? 2.0 Bohr magnetons per cell


Look up the formation energy from raw total energies of the first one. 598 meV/atom